No. 1
BeCuMo (PBE, relaxed); relative energy among the computed polymorphs = 0.0000 eV per atom; final energy = -18.582 eV for the cell shown; spin magnetization = 0.00 μB/atom; symmetry = I4mm; ρ = 7.8 Mg/m³
1.0
-1.335 1.335 5.009
1.335 -1.335 5.009
1.335 1.335 -5.009
Be Cu Mo
1 1 1
Cartesian
0.000 0.000 0.000
0.000 0.000 6.305
0.000 0.000 3.279

No. 2
Pm3SbO3 (PBE, relaxed); relative energy among the computed polymorphs = 0.0000 eV per atom; final energy = -103.713 eV for the cell shown; spin magnetization = 0.00 μB/atom; symmetry = R-3; ρ = 6.5 Mg/m³; E_form (uncorrected) = -2.66 eV per atom
1.0
3.445 1.989 7.563
-3.445 1.989 7.563
0.000 -3.978 7.563
Pm Sb O
6 2 6
Cartesian
-1.229 -2.093 9.043
-2.427 0.018 13.647
-1.198 2.111 9.043
1.198 -2.111 13.647
2.427 -0.018 9.043
1.229 2.093 13.647
0.000 0.000 3.780
0.000 0.000 18.909
-2.193 0.040 8.466
-1.131 -1.879 14.224
1.062 -1.919 8.466
-1.062 1.919 14.224
1.131 1.879 8.466
2.193 -0.040 14.224

No. 3
Nd2VN (PBE, relaxed); final energy = -27.075 eV for the cell shown; spin magnetization = 0.81 μB/atom; symmetry = R-3m; ρ = 6.2 Mg/m³; E_form (uncorrected) = -0.02 eV per atom
1.0
1.740 1.005 8.980
-1.740 1.005 8.980
0.000 -2.009 8.980
Nd V N
2 1 1
Cartesian
0.000 0.000 3.053
0.000 0.000 23.888
0.000 0.000 0.000
0.000 0.000 13.471

ρ of number 3 (Nd2VN)? 6.2 Mg/m³

Which value of spin magnetization does entry 1 give? 0.00 μB/atom

What did the first record say?
BeCuMo (PBE, relaxed); relative energy among the computed polymorphs = 0.0000 eV per atom; final energy = -18.582 eV for the cell shown; spin magnetization = 0.00 μB/atom; symmetry = I4mm; ρ = 7.8 Mg/m³
1.0
-1.335 1.335 5.009
1.335 -1.335 5.009
1.335 1.335 -5.009
Be Cu Mo
1 1 1
Cartesian
0.000 0.000 0.000
0.000 0.000 6.305
0.000 0.000 3.279